(1)
The following is a DFT calculation (PBE-GGA) of an optimized crystal structure of HfSiRh3.

abc: 3.997 3.997 5.176
angles: 90.00 90.00 90.00
Fractional positions:
Hf: 0.000 0.000 0.000
Si: 0.500 0.500 0.644
Rh: 0.000 0.500 0.408
Rh: 0.500 0.000 0.408
Rh: 0.500 0.500 0.067

Summary:
polymorph energy (0 for the lowest one) = 3 kJ/mol of formula units
volume = 16.5 Å³/atom
electronic total energy = -40.7 eV per formula unit
symmetry = No. 99

=====

(2)
The following is a DFT calculation (PBE-GGA) of an optimized crystal structure of MgTa4Hg.

abc: 5.545 5.545 5.545
angles: 60.00 60.00 60.00
Fractional positions:
Mg: 0.000 0.000 0.000
Ta: 0.121 0.626 0.626
Ta: 0.626 0.121 0.626
Ta: 0.626 0.626 0.121
Ta: 0.626 0.626 0.626
Hg: 0.250 0.250 0.250

Summary:
formation enthalpy at 0 K = 2.8 eV/f.u.
volume = 20.1 Å³/atom
electronic total energy = -46.5 eV per formula unit
symmetry = No. 216

=====

(3)
The following is a DFT calculation (PBE-GGA) of an optimized crystal structure of BeCdSi2.

abc: 11.090 2.668 4.572
angles: 90.00 113.26 90.00
Fractional positions:
Be: 0.000 0.000 0.000
Be: 0.500 0.500 0.000
Cd: 0.000 0.500 0.500
Cd: 0.500 0.000 0.500
Si: 0.207 0.500 0.200
Si: 0.293 0.000 0.800
Si: 0.707 0.000 0.200
Si: 0.793 0.500 0.800

Summary:
polymorph energy (0 for the lowest one) = 31 kJ/mol of formula units
volume = 15.5 Å³/atom
electronic total energy = -13.7 eV per formula unit
symmetry = No. 12

=====

(4)
The following is a DFT calculation (PBE-GGA) of an optimized crystal structure of ErSbIrRh.

abc: 6.653 6.653 6.653
angles: 90.00 90.00 90.00
Fractional positions:
Er: 0.000 0.000 0.000
Er: 0.000 0.500 0.500
Er: 0.500 0.000 0.500
Er: 0.500 0.500 0.000
Sb: 0.000 0.000 0.500
Sb: 0.000 0.500 0.000
Sb: 0.500 0.000 0.000
Sb: 0.500 0.500 0.500
Ir: 0.250 0.250 0.250
Ir: 0.250 0.750 0.750
Ir: 0.750 0.250 0.750
Ir: 0.750 0.750 0.250
Rh: 0.250 0.250 0.750
Rh: 0.250 0.750 0.250
Rh: 0.750 0.250 0.250
Rh: 0.750 0.750 0.750

Summary:
volume = 18.4 Å³/atom
electronic total energy = -27.2 eV per formula unit
symmetry = No. 216

=====

Size of the total moment, respectively: 0.00; 0.00; 0.00; 0.00 μB/f.u..